Below is an optimized crystal structure of SrCdTeO, with properties calculated at the PBE level.

Results
- uncorrected energy (eV per atom) = -4.1081

Cell lengths 7.718, 7.874, 13.712 Å; angles 90.00, 90.00, 90.00 degrees
Fractional coordinates of all 32 atoms:
Sr 0.118 0.566 0.718
Sr 0.118 0.934 0.218
Sr 0.382 0.434 0.218
Sr 0.882 0.066 0.782
Sr 0.382 0.066 0.718
Sr 0.618 0.934 0.282
Sr 0.618 0.566 0.782
Sr 0.882 0.434 0.282
Cd 0.453 0.716 0.559
Cd 0.547 0.284 0.441
Cd 0.047 0.284 0.059
Cd 0.047 0.216 0.559
Cd 0.453 0.784 0.059
Cd 0.953 0.716 0.941
Cd 0.547 0.216 0.941
Cd 0.953 0.784 0.441
Te 0.731 0.467 0.045
Te 0.269 0.533 0.955
Te 0.769 0.533 0.545
Te 0.231 0.467 0.455
Te 0.231 0.033 0.955
Te 0.731 0.033 0.545
Te 0.769 0.967 0.045
Te 0.269 0.967 0.455
O 0.618 0.239 0.787
O 0.118 0.239 0.713
O 0.882 0.761 0.287
O 0.882 0.739 0.787
O 0.382 0.739 0.713
O 0.118 0.261 0.213
O 0.618 0.261 0.287
O 0.382 0.761 0.213



Below is an optimized crystal structure of SrCdTeO, with properties calculated at the PBE level.

Results
- uncorrected energy (eV per atom) = -4.1315

Cell lengths 8.476, 6.638, 7.476 Å; angles 90.00, 90.00, 90.00 degrees
Fractional coordinates of all 16 atoms:
Te 0.632 0.397 0.791
Te 0.132 0.103 0.209
Te 0.868 0.603 0.291
Te 0.368 0.897 0.709
Cd 0.594 0.400 0.169
Cd 0.406 0.900 0.331
Cd 0.906 0.600 0.669
Cd 0.094 0.100 0.831
Sr 0.312 0.413 0.528
Sr 0.688 0.913 0.972
Sr 0.188 0.587 0.028
Sr 0.812 0.087 0.472
O 0.388 0.580 0.251
O 0.112 0.420 0.751
O 0.888 0.920 0.749
O 0.612 0.080 0.249



Below is an optimized crystal structure of SrCdTeO, with properties calculated at the PBE level.

Results
- uncorrected energy (eV per atom) = -4.1003

Cell lengths 7.145, 6.944, 8.025 Å; angles 90.00, 90.00, 90.00 degrees
Fractional coordinates of all 16 atoms:
Te 0.082 0.329 0.346
Te 0.918 0.829 0.154
Te 0.418 0.671 0.846
Te 0.582 0.171 0.654
Cd 0.643 0.059 0.318
Cd 0.357 0.559 0.182
Cd 0.857 0.941 0.818
Cd 0.143 0.441 0.682
Sr 0.805 0.402 0.984
Sr 0.195 0.902 0.516
Sr 0.305 0.098 0.016
Sr 0.695 0.598 0.484
O 0.053 0.210 0.850
O 0.553 0.290 0.150
O 0.447 0.790 0.350
O 0.947 0.710 0.650